Density functional theory data (PBE) for an optimized crystal structure of ZrCu2W.

a = 3.299 Å, b = 3.299 Å, c = 5.836 Å
α = 90.00°, β = 90.00°, γ = 90.00°
Space group P4mm (No. 99)
One atom of each set of equivalent atoms:
Zr1 0.000 0.000 0.000 x1
Cu1 0.000 0.000 0.486 x1
Cu2 0.500 0.500 0.271 x1
W1 0.500 0.500 0.714 x1

Calculated values
- Formation enthalpy at 0 K: 0.238 eV per atom
- Total energy: -7.185 eV per atom


Density functional theory data (PBE) for an optimized crystal structure of ZrCu2W.

a = 6.378 Å, b = 6.378 Å, c = 6.378 Å
α = 90.00°, β = 90.00°, γ = 90.00°
Space group F-43m (No. 216)
One atom of each set of equivalent atoms:
Zr1 0.000 0.000 0.000 x4
Cu1 0.000 0.000 0.500 x4
Cu2 0.250 0.250 0.750 x4
W1 0.250 0.250 0.250 x4

Calculated values
- Formation enthalpy at 0 K: 0.555 eV per atom
- Total energy: -6.868 eV per atom


Density functional theory data (PBE) for an optimized crystal structure of ZrCu2W.

a = 3.804 Å, b = 3.804 Å, c = 19.115 Å
α = 90.00°, β = 90.00°, γ = 90.00°
Space group I-42d (No. 122)
One atom of each set of equivalent atoms:
Zr1 0.000 0.000 0.000 x4
Cu1 0.217 0.250 0.625 x8
W1 0.000 0.000 0.500 x4

Calculated values
- Formation enthalpy at 0 K: 0.761 eV per atom
- Total energy: -6.662 eV per atom


Density functional theory data (PBE) for an optimized crystal structure of ZrCu2W.

a = 3.986 Å, b = 3.993 Å, c = 7.765 Å
α = 90.00°, β = 90.00°, γ = 90.00°
Space group Cmmm (No. 65)
One atom of each set of equivalent atoms:
Zr1 0.000 0.000 0.000 x2
Cu1 0.000 0.500 0.267 x4
W1 0.000 0.000 0.500 x2

Calculated values
- Formation enthalpy at 0 K: 0.207 eV per atom
- Total energy: -7.216 eV per atom


Density functional theory data (PBE) for an optimized crystal structure of ZrCu2W.

a = 2.886 Å, b = 4.724 Å, c = 9.167 Å
α = 90.00°, β = 90.00°, γ = 90.00°
Space group Imm2 (No. 44)
One atom of each set of equivalent atoms:
Zr1 0.000 0.000 0.000 x2
Cu1 0.000 0.000 0.480 x2
Cu2 0.000 0.500 0.762 x2
W1 0.000 0.500 0.229 x2

Calculated values
- Formation enthalpy at 0 K: 0.238 eV per atom
- Total energy: -7.186 eV per atom


Density functional theory data (PBE) for an optimized crystal structure of ZrCu2W.

a = 2.765 Å, b = 3.845 Å, c = 5.857 Å
α = 90.00°, β = 90.52°, γ = 90.00°
Space group P2/m (No. 10)
One atom of each set of equivalent atoms:
Zr1 0.000 0.000 0.000 x1
Cu1 0.500 0.500 0.280 x2
W1 0.000 0.000 0.500 x1

Calculated values
- Formation enthalpy at 0 K: 0.183 eV per atom
- Total energy: -7.240 eV per atom


Density functional theory data (PBE) for an optimized crystal structure of ZrCu2W.

a = 2.661 Å, b = 4.365 Å, c = 5.484 Å
α = 90.00°, β = 103.67°, γ = 90.00°
Space group Pm (No. 6)
One atom of each set of equivalent atoms:
Zr1 0.000 0.000 0.000 x1
Cu1 0.613 0.500 0.229 x1
Cu2 0.736 0.000 0.483 x1
W1 0.333 0.500 0.673 x1

Calculated values
- Formation enthalpy at 0 K: 0.173 eV per atom
- Total energy: -7.251 eV per atom


Density functional theory data (PBE) for an optimized crystal structure of ZrCu2W.

a = 4.734 Å, b = 4.734 Å, c = 2.768 Å
α = 90.00°, β = 90.00°, γ = 90.00°
Space group P4/mmm (No. 123)
One atom of each set of equivalent atoms:
Zr1 0.000 0.000 0.000 x1
Cu1 0.000 0.500 0.500 x2
W1 0.500 0.500 0.000 x1

Calculated values
- Formation enthalpy at 0 K: 0.250 eV per atom
- Total energy: -7.173 eV per atom